First-principles (meta-GGA SCAN) data for BaCo4Ir at its PBEsol-relaxed geometry, as listed in Alexandria.

Results
Total magnetization ... 8.22 μB per cell
Total energy ... -175.59 eV per formula unit
ΔH_f (0 K) ... 0.714 eV/atom

```
BaCo4Ir
1.0
4.994 0.000 0.000
2.497 4.325 0.000
2.497 1.442 4.077
Co Ir Ba
4 1 1
Cartesian
6.221 2.174 1.538
4.994 4.300 1.538
4.994 2.883 3.542
3.766 2.174 1.538
7.490 4.325 3.058
0.000 0.000 0.000
```